# GGA-PBE BSbF3, optimized geometry
data_BSbF3
_symmetry_space_group_name_H-M 'P m -3 m'
_symmetry_Int_Tables_number 221
_symmetry_space_group_name_Hall '-P 4 2 3'
_cell_length_a 4.0317
_cell_length_b 4.0317
_cell_length_c 4.0317
_cell_angle_alpha 90.00
_cell_angle_beta 90.00
_cell_angle_gamma 90.00
loop_
_atom_site_label
_atom_site_fract_x
_atom_site_fract_y
_atom_site_fract_z
B1 0.0000 0.0000 0.0000
Sb1 0.5000 0.5000 0.5000
F1 0.0000 0.0000 0.5000
# ΔE_f (raw) ... -0.39 eV/atom
# Spin magnetization ... 0.5 Bohr magnetons per cell
# Energy relative to the lowest polymorph listed for this composition ... 213.2 meV/atom